OsPbBr, optimized geometry, DFT PBE; crystal system = orthorhombic; total DFT energy (no corrections) = -4.6546 eV/atom; volume = 71.5 Å³/cell
1.0
0.0000 2.8785 8.0247
1.5482 0.0000 8.0247
1.5482 2.8785 0.0000
Os Pb Br
1 1 1
direct
0.0000 0.0000 0.0000
0.6528 0.6528 0.3472
0.3785 0.3785 0.6215

=====

KZnTe2, optimized geometry, DFT PBE; crystal system = orthorhombic; total DFT energy (no corrections) = -2.5463 eV/atom; volume = 135.5 Å³/cell
1.0
3.4615 0.0000 0.0000
0.0000 4.3359 0.0000
0.0000 0.0000 9.0272
K Zn Te
1 1 2
direct
0.0000 0.0000 0.0000
0.5000 0.5000 0.4894
0.0000 0.0000 0.3843
0.5000 0.5000 0.7803

=====

MgInSbBr2, optimized geometry, DFT PBE; crystal system = tetragonal; total DFT energy (no corrections) = -2.4106 eV/atom; volume = 173.7 Å³/cell
1.0
5.3943 0.0000 0.0000
0.0000 5.3943 0.0000
0.0000 0.0000 5.9679
Mg In Sb Br
1 1 1 2
direct
0.0000 0.0000 0.0000
0.5000 0.5000 0.5000
0.5000 0.5000 0.0000
0.0000 0.5000 0.5000
0.5000 0.0000 0.5000

=====

Number 1: magnetization 0.000 μB/f.u.. Number 2: magnetization 0.000 μB/f.u.. Number 3: magnetization 0.272 μB/f.u..